A plane-wave DFT calculation with PBE was carried out for a geometry-optimized K2MnRu structure.

V   123 Å³/cell
Formation enthalpy at 0 K   0.8742 eV/atom
Calculated density   3.17 g cm⁻³
Space-group type   No. 44

Lattice parameters (Å, degrees): 6.808 6.808 6.808 149.98 128.35 60.90
Fractional coordinates of all 4 atoms:
K 0.000 0.000 0.000
K 0.706 0.206 0.500
Mn 0.300 0.800 0.500
Ru 0.419 0.419 0.000

=====

A plane-wave DFT calculation with PBE was carried out for a geometry-optimized KMnRuS3 structure.

V   246 Å³/cell
Raw total energy   -5.94 eV/atom
Calculated density   3.93 g cm⁻³
Space-group type   No. 11

Lattice parameters (Å, degrees): 8.192 3.413 9.699 90.00 114.80 90.00
Fractional coordinates of all 12 atoms:
K 0.010 0.250 0.240
K 0.990 0.750 0.760
Mn 0.450 0.250 0.126
Mn 0.550 0.750 0.874
Ru 0.486 0.750 0.374
Ru 0.514 0.250 0.626
S 0.259 0.750 0.126
S 0.315 0.750 0.513
S 0.345 0.250 0.861
S 0.655 0.750 0.139
S 0.685 0.250 0.487
S 0.741 0.250 0.874

=====

A plane-wave DFT calculation with PBE was carried out for a geometry-optimized KMn5S8 structure.

V   245 Å³/cell
Raw total energy   -6.37 eV/atom
Calculated density   3.86 g cm⁻³
Space-group type   No. 12

Lattice parameters (Å, degrees): 8.942 8.942 8.488 105.01 105.01 22.02
Fractional coordinates of all 14 atoms:
K 0.000 0.000 0.000
Mn 0.160 0.160 0.493
Mn 0.205 0.205 0.834
Mn 0.500 0.500 0.500
Mn 0.795 0.795 0.166
Mn 0.840 0.840 0.507
S 0.073 0.073 0.662
S 0.259 0.259 0.340
S 0.332 0.332 0.010
S 0.413 0.413 0.668
S 0.587 0.587 0.332
S 0.668 0.668 0.990
S 0.741 0.741 0.660
S 0.927 0.927 0.338

=====

A plane-wave DFT calculation with PBE was carried out for a geometry-optimized KMn4S8 structure.

V   307 Å³/cell
Raw total energy   -6.15 eV/atom
Calculated density   2.79 g cm⁻³
Space-group type   No. 166

Lattice parameters (Å, degrees): 8.795 8.795 8.795 44.74 44.74 44.74
Fractional coordinates of all 13 atoms:
K 0.000 0.000 0.000
Mn 0.000 0.000 0.500
Mn 0.000 0.500 0.000
Mn 0.500 0.000 0.000
Mn 0.500 0.500 0.500
S 0.222 0.222 0.222
S 0.223 0.722 0.722
S 0.278 0.278 0.777
S 0.278 0.777 0.278
S 0.722 0.223 0.722
S 0.722 0.722 0.223
S 0.777 0.278 0.278
S 0.778 0.778 0.778

=====

A plane-wave DFT calculation with PBE was carried out for a geometry-optimized K5Mn2S6 structure.

V   799 Å³/cell
Raw total energy   -4.69 eV/atom
Calculated density   2.07 g cm⁻³
Space-group type   No. 15

Lattice parameters (Å, degrees): 7.412 7.412 16.326 100.00 100.00 65.65
Fractional coordinates of all 26 atoms:
K 0.150 0.850 0.750
K 0.193 0.722 0.001
K 0.231 0.453 0.273
K 0.278 0.807 0.499
K 0.453 0.231 0.773
K 0.547 0.769 0.227
K 0.722 0.193 0.501
K 0.769 0.547 0.727
K 0.807 0.278 0.999
K 0.850 0.150 0.250
Mn 0.144 0.400 0.572
Mn 0.400 0.144 0.072
Mn 0.600 0.856 0.928
Mn 0.856 0.600 0.428
S 0.108 0.183 0.640
S 0.127 0.307 0.433
S 0.183 0.108 0.140
S 0.307 0.127 0.933
S 0.403 0.472 0.625
S 0.472 0.403 0.125
S 0.528 0.597 0.875
S 0.597 0.528 0.375
S 0.693 0.873 0.067
S 0.817 0.892 0.860
S 0.873 0.693 0.567
S 0.892 0.817 0.360

=====

A plane-wave DFT calculation with PBE was carried out for a geometry-optimized K5MnS4 structure.

V   657 Å³/cell
Raw total energy   -4.08 eV/atom
Calculated density   1.92 g cm⁻³
Space-group type   No. 59

Lattice parameters (Å, degrees): 9.610 9.771 6.994 90.00 90.00 90.00
Fractional coordinates of all 20 atoms:
K 0.018 0.059 0.241
K 0.018 0.441 0.241
K 0.250 0.750 0.355
K 0.482 0.059 0.241
K 0.482 0.441 0.241
K 0.518 0.559 0.759
K 0.518 0.941 0.759
K 0.750 0.250 0.645
K 0.982 0.559 0.759
K 0.982 0.941 0.759
Mn 0.250 0.250 0.716
Mn 0.750 0.750 0.284
S 0.034 0.250 0.867
S 0.250 0.038 0.560
S 0.250 0.462 0.560
S 0.466 0.250 0.867
S 0.534 0.750 0.133
S 0.750 0.538 0.440
S 0.750 0.962 0.440
S 0.966 0.750 0.133

=====

A plane-wave DFT calculation with PBE was carried out for a geometry-optimized KMnS2 structure.

V   412 Å³/cell
Raw total energy   -5.40 eV/atom
Calculated density   2.55 g cm⁻³
Space-group type   No. 13

Lattice parameters (Å, degrees): 6.524 6.557 10.369 90.00 111.64 90.00
Fractional coordinates of all 16 atoms:
K 0.118 0.203 0.112
K 0.118 0.797 0.612
K 0.882 0.203 0.388
K 0.882 0.797 0.888
Mn 0.498 0.418 0.879
Mn 0.498 0.582 0.379
Mn 0.502 0.418 0.621
Mn 0.502 0.582 0.121
S 0.228 0.330 0.686
S 0.228 0.670 0.186
S 0.425 0.264 0.422
S 0.425 0.736 0.922
S 0.575 0.264 0.078
S 0.575 0.736 0.578
S 0.772 0.330 0.814
S 0.772 0.670 0.314

=====

A plane-wave DFT calculation with PBE was carried out for a geometry-optimized K2Mn3S4 structure.

V   452 Å³/cell
Raw total energy   -5.91 eV/atom
Calculated density   2.73 g cm⁻³
Space-group type   No. 13

Lattice parameters (Å, degrees): 7.305 6.024 11.106 90.00 112.32 90.00
Fractional coordinates of all 18 atoms:
K 0.000 0.000 0.000
K 0.000 0.000 0.500
K 0.000 0.498 0.250
K 0.000 0.502 0.750
Mn 0.499 0.250 0.030
Mn 0.499 0.750 0.530
Mn 0.500 0.249 0.750
Mn 0.500 0.751 0.250
Mn 0.501 0.250 0.470
Mn 0.501 0.750 0.970
S 0.291 0.033 0.833
S 0.291 0.465 0.563
S 0.291 0.535 0.063
S 0.291 0.967 0.333
S 0.709 0.033 0.667
S 0.709 0.465 0.937
S 0.709 0.535 0.437
S 0.709 0.967 0.167

=====

Q: What is the calculated density in the first record?
A: 3.17 g cm⁻³

=====

Q: What is the V in the sixth record?
A: 657 Å³/cell

=====

Q: Number 7 is which compound?
A: KMnS2

=====

Q: The highest V belongs to which entry?
A: K5Mn2S6